(1)
Computed, not measured: a geometry-optimized VNiTe4 structure at the GGA-PBE level of DFT.

```
VNiTe4
1.0
3.7350 0.0000 0.0000
-0.0025 6.7074 0.0000
-1.8603 -3.2194 6.0724
V Ni Te
1 1 4
direct
0.0000 0.0000 0.0000
0.5000 0.5000 0.0000
0.1200 0.7750 0.2402
0.3742 0.6995 0.7477
0.6258 0.3005 0.2523
0.8800 0.2250 0.7598
```

- Space-group type: P-1
- Formation energy (no corrections): -202.0 meV/atom
- Energy: -28.68 eV for the cell shown

***

(2)
Computed, not measured: a geometry-optimized SrZn2FeGe structure at the GGA-PBE level of DFT.

```
SrZn2FeGe
1.0
4.7452 0.0000 0.0000
0.0000 4.7452 0.0000
0.0000 0.0000 4.4997
Sr Zn Fe Ge
1 2 1 1
direct
0.0000 0.0000 0.0000
0.0000 0.5000 0.5000
0.5000 0.0000 0.5000
0.5000 0.5000 0.5000
0.5000 0.5000 0.0000
```

- Space-group type: P4/mmm
- Formation energy: -0.187 eV per atom
- Energy: -18.24 eV for the cell shown

***

(3)
Computed, not measured: a geometry-optimized KBe2 structure at the GGA-PBE level of DFT.

```
KBe2
1.0
6.3882 0.0000 0.0000
-3.1941 5.5323 0.0000
0.0000 0.0000 7.7346
K Be
4 8
direct
0.3333 0.6667 0.0346
0.3333 0.6667 0.4654
0.6667 0.3333 0.5346
0.6667 0.3333 0.9654
0.0000 0.0000 0.0000
0.0000 0.0000 0.5000
0.1044 0.2087 0.7500
0.1044 0.8956 0.7500
0.2087 0.1044 0.2500
0.7913 0.8956 0.7500
0.8956 0.1044 0.2500
0.8956 0.7913 0.2500
```

- Space-group type: P6_3/mmc
- Formation energy: 0.710 eV per atom
- Energy: -25.68 eV for the cell shown

***

(4)
Computed, not measured: a geometry-optimized MnMo2Os structure at the GGA-PBE level of DFT.

```
MnMo2Os
1.0
5.4882 0.0000 0.0000
0.0000 7.6312 0.0000
0.0000 0.0000 2.8032
Mn Mo Os
2 4 2
direct
0.0000 0.0000 0.0000
0.5000 0.5000 0.0000
0.2500 0.2500 0.5000
0.2500 0.7500 0.5000
0.7500 0.2500 0.5000
0.7500 0.7500 0.5000
0.0000 0.5000 0.0000
0.5000 0.0000 0.0000
```

- Space-group type: Cmmm
- Formation energy: 0.150 eV per atom
- Energy: -82.92 eV for the cell shown

***

(5)
Computed, not measured: a geometry-optimized Co2SeI structure at the GGA-PBE level of DFT.

```
Co2SeI
1.0
5.6195 0.0000 0.0000
0.0000 5.6195 0.0000
0.0000 0.0000 11.3058
Co Se I
8 4 4
direct
0.2120 0.2500 0.1250
0.2500 0.7120 0.3750
0.2500 0.7880 0.8750
0.2880 0.2500 0.6250
0.7120 0.7500 0.6250
0.7500 0.2120 0.8750
0.7500 0.2880 0.3750
0.7880 0.7500 0.1250
0.0000 0.0000 0.0000
0.0000 0.5000 0.2500
0.5000 0.0000 0.7500
0.5000 0.5000 0.5000
0.0000 0.0000 0.5000
0.0000 0.5000 0.7500
0.5000 0.0000 0.2500
0.5000 0.5000 0.0000
```

- Space-group type: I-42d
- Formation energy (no corrections): 173.4 meV/atom
- Energy: -74.21 eV for the cell shown

***

(6)
Computed, not measured: a geometry-optimized CsPbO2 structure at the GGA-PBE level of DFT.

```
CsPbO2
1.0
6.1958 0.0000 0.0000
-2.2202 6.1722 0.0000
-2.3128 -2.2990 5.8116
Cs Pb O
2 2 4
direct
0.0000 0.0000 0.0000
0.4916 0.3145 0.7664
0.4056 0.7116 0.3021
0.9023 0.4337 0.4377
0.1869 0.8176 0.6581
0.4296 0.8094 0.6720
0.5242 0.4344 0.3188
0.9927 0.4786 0.1519
```

- Space-group type: P1
- Formation energy (no corrections): -1058.2 meV/atom
- Energy: -37.42 eV for the cell shown

***

(7)
Computed, not measured: a geometry-optimized Mg14AlSb structure at the GGA-PBE level of DFT.

```
Mg14AlSb
1.0
6.3826 0.0000 0.0000
-3.1913 5.5275 0.0000
0.0000 0.0000 10.1874
Mg Al Sb
14 1 1
direct
0.0000 0.0000 0.2482
0.0000 0.0000 0.7518
0.3311 0.1656 0.5000
0.3335 0.1668 0.0000
0.5006 0.0011 0.2543
0.5006 0.0011 0.7457
0.5006 0.4994 0.2543
0.5006 0.4994 0.7457
0.8332 0.1668 0.0000
0.8332 0.6665 0.0000
0.8344 0.1656 0.5000
0.8344 0.6689 0.5000
0.9989 0.4994 0.2543
0.9989 0.4994 0.7457
0.3333 0.6667 0.5000
0.3333 0.6667 0.0000
```

- Space-group type: P-6m2
- Formation energy (no corrections): -22.7 meV/atom
- Energy: -30.55 eV for the cell shown

***

(8)
Computed, not measured: a geometry-optimized NaMg3Au4 structure at the GGA-PBE level of DFT.

```
NaMg3Au4
1.0
9.2726 0.0000 0.0000
0.0000 6.9447 0.0000
0.0000 0.0000 4.6392
Na Mg Au
2 6 8
direct
0.0000 0.0000 0.0000
0.5000 0.0000 0.0000
0.0000 0.5000 0.0000
0.2500 0.0000 0.4988
0.2500 0.5000 0.4985
0.5000 0.5000 0.0000
0.7500 0.0000 0.5012
0.7500 0.5000 0.5015
0.0000 0.2639 0.5000
0.0000 0.7361 0.5000
0.2500 0.2642 0.9985
0.2500 0.7358 0.9985
0.5000 0.2639 0.5000
0.5000 0.7361 0.5000
0.7500 0.2642 0.0015
0.7500 0.7358 0.0015
```

- Space-group type: Pmma
- Formation energy: -0.502 eV per atom
- Energy: -46.45 eV for the cell shown

***

(9)
Computed, not measured: a geometry-optimized BaTb2Dy structure at the GGA-PBE level of DFT.

```
BaTb2Dy
1.0
3.7044 0.0000 0.0000
0.0000 3.7044 0.0000
0.0000 0.0000 10.7530
Ba Tb Dy
1 2 1
direct
0.0000 0.0000 0.0000
0.5000 0.5000 0.2841
0.5000 0.5000 0.7159
0.0000 0.0000 0.5000
```

- Space-group type: P4/mmm
- Formation energy: 0.150 eV per atom
- Energy: -15.19 eV for the cell shown

***

(10)
Computed, not measured: a geometry-optimized KPuTl2I6 structure at the GGA-PBE level of DFT.

```
KPuTl2I6
1.0
4.3205 2.4944 7.6219
-4.3205 2.4944 7.6219
0.0000 -4.9889 7.6219
K Pu Tl I
1 1 2 6
direct
0.0000 0.0000 0.0000
0.4912 0.4912 0.4912
0.2939 0.2939 0.2939
0.8045 0.8045 0.8045
0.1266 0.6915 0.3992
0.2506 0.6071 0.8433
0.3992 0.1266 0.6915
0.6071 0.8433 0.2506
0.6915 0.3992 0.1266
0.8433 0.2506 0.6071
```

- Space-group type: R3
- Formation energy (no corrections): -984.7 meV/atom
- Energy: -39.31 eV for the cell shown

***

(11)
Computed, not measured: a geometry-optimized Cs2SrSnO4 structure at the GGA-PBE level of DFT.

```
Cs2SrSnO4
1.0
6.4863 0.0000 0.0000
0.0000 6.4863 0.0000
0.0000 0.0000 9.3617
Cs Sr Sn O
4 2 2 8
direct
0.0000 0.0000 0.0000
0.0000 0.5000 0.2500
0.5000 0.0000 0.7500
0.5000 0.5000 0.5000
0.0000 0.0000 0.5000
0.5000 0.5000 0.0000
0.0000 0.5000 0.7500
0.5000 0.0000 0.2500
0.1377 0.2819 0.6339
0.2181 0.6377 0.8661
0.2819 0.8623 0.3661
0.3623 0.2181 0.1339
0.6377 0.7819 0.1339
0.7181 0.1377 0.3661
0.7819 0.3623 0.8661
0.8623 0.7181 0.6339
```

- Space-group type: I-4
- Formation energy (no corrections): -1845.6 meV/atom
- Energy: -83.98 eV for the cell shown

***

(12)
Computed, not measured: a geometry-optimized RbDy2HgTe4 structure at the GGA-PBE level of DFT.

```
RbDy2HgTe4
1.0
2.2341 -7.6484 0.0000
2.2341 7.6484 0.0000
0.0000 0.0000 16.8360
Rb Dy Hg Te
2 4 2 8
direct
0.1261 0.8739 0.7500
0.8739 0.1261 0.2500
0.3774 0.6226 0.5691
0.3774 0.6226 0.9309
0.6226 0.3774 0.0691
0.6226 0.3774 0.4309
0.1896 0.8104 0.2500
0.8104 0.1896 0.7500
0.0000 0.0000 0.0000
0.0000 0.0000 0.5000
0.2604 0.7396 0.0891
0.2604 0.7396 0.4109
0.4413 0.5587 0.7500
0.5587 0.4413 0.2500
0.7396 0.2604 0.5891
0.7396 0.2604 0.9109
```

- Space-group type: Cmcm
- Formation energy (no corrections): -984.6 meV/atom
- Energy: -61.83 eV for the cell shown

***

Q: energy of number 2 (SrZn2FeGe)?
A: -18.24 eV for the cell shown

***

Q: The highest energy belongs to which entry?
A: BaTb2Dy

***

Q: Which of these has the highest energy?
A: BaTb2Dy